The following is a PBE-GGA calculation of a relaxed SrAl2Sn2Au6 crystal, from Alexandria.

The uncorrected energy comes out at -3.6745 eV/atom. The calculation puts the energy of formation from the pure elements at -325.7 meV/atom. The density of states at the Fermi level is 4.77 states/eV/f.u. The volume comes out at 25.096 A^3/atom.

It has space group P-1 (No. 2), with a = 5.758 Å, b = 6.499 Å, c = 8.288 Å, α = 80.95°, β = 89.94° and γ = 64.66°. Symmetry generates all atoms from Sr at (0.000, 0.000, 0.000), Al at (0.314, 0.383, 0.981), Sn at (0.315, 0.360, 0.544), Au at (0.061, 0.369, 0.241), Au at (0.434, 0.632, 0.750) and Au at (0.481, 0.042, 0.822).